VASP calculation (PBE) on GeB2Mo after structural relaxation.

Computed properties:
As for the space group: I-42d, No. 122. For the formation energy, the calculation gives 0.785 eV per atom.

Lattice parameters (Å, degrees): 5.1630 5.1630 8.4900 90.00 90.00 90.00
Sites, in units of the cell vectors:
Ge (0.0000, 0.0000, 0.0000)
Ge (0.0000, 0.5000, 0.2500)
Ge (0.5000, 0.0000, 0.7500)
Ge (0.5000, 0.5000, 0.5000)
B (0.2504, 0.2500, 0.1250)
B (0.2496, 0.2500, 0.6250)
B (0.2500, 0.7504, 0.3750)
B (0.2500, 0.7496, 0.8750)
B (0.7500, 0.2496, 0.3750)
B (0.7500, 0.2504, 0.8750)
B (0.7496, 0.7500, 0.1250)
B (0.7504, 0.7500, 0.6250)
Mo (0.0000, 0.0000, 0.5000)
Mo (0.0000, 0.5000, 0.7500)
Mo (0.5000, 0.0000, 0.2500)
Mo (0.5000, 0.5000, 0.0000)



VASP calculation (PBE) on TiRu2Br2 after structural relaxation.

Computed properties:
Its energy above the most stable polymorph in this dataset is 0.2412 eV/atom. As for the space group: I4/mmm, No. 139. The raw formation energy comes out at 474 kJ/mol of formula units.

Lattice parameters (Å, degrees): 4.0303 4.0303 11.4832 90.00 90.00 90.00
Sites, in units of the cell vectors:
Ti (0.0000, 0.0000, 0.0000)
Ti (0.5000, 0.5000, 0.5000)
Ru (0.0000, 0.5000, 0.2500)
Ru (0.0000, 0.5000, 0.7500)
Ru (0.5000, 0.0000, 0.2500)
Ru (0.5000, 0.0000, 0.7500)
Br (0.0000, 0.0000, 0.3770)
Br (0.0000, 0.0000, 0.6230)
Br (0.5000, 0.5000, 0.1230)
Br (0.5000, 0.5000, 0.8770)



VASP calculation (PBE) on LiReBr2 after structural relaxation.

Computed properties:
Its energy above the most stable polymorph in this dataset is 0.3616 eV/atom. As for the space group: Pmmm, No. 47. The raw formation energy comes out at 193 kJ/mol of formula units.

Lattice parameters (Å, degrees): 3.2874 4.1532 7.1160 90.00 90.00 90.00
Sites, in units of the cell vectors:
Li (0.0000, 0.0000, 0.0000)
Re (0.5000, 0.0000, 0.5000)
Br (0.0000, 0.5000, 0.5000)
Br (0.5000, 0.5000, 0.0000)



VASP calculation (PBE) on Ni2Sb after structural relaxation.

Computed properties:
As for the space group: Pa-3, No. 205. The raw formation energy comes out at 105 kJ/mol of formula units.

Lattice parameters (Å, degrees): 5.9582 5.9582 5.9582 90.00 90.00 90.00
Sites, in units of the cell vectors:
Ni (0.1159, 0.1159, 0.1159)
Ni (0.1159, 0.3841, 0.6159)
Ni (0.3841, 0.6159, 0.1159)
Ni (0.3841, 0.8841, 0.6159)
Ni (0.6159, 0.1159, 0.3841)
Ni (0.6159, 0.3841, 0.8841)
Ni (0.8841, 0.6159, 0.3841)
Ni (0.8841, 0.8841, 0.8841)
Sb (0.0000, 0.0000, 0.5000)
Sb (0.0000, 0.5000, 0.0000)
Sb (0.5000, 0.0000, 0.0000)
Sb (0.5000, 0.5000, 0.5000)